Below is an optimized crystal structure of BePb, with properties calculated at the PBE level.

## Properties
- D(E_F) (states/eV/cell) = 12.2
- offset from the most stable computed form (meV per atom) = 312
- energy of formation (eV per atom) = 0.62
- M_tot (μB/f.u.) = 0.0

Cell and atoms, written as CIF:
```
data_BePb
_chemical_formula_sum 'Be16 Pb16'
_cell_length_a 6.668
_cell_length_b 8.672
_cell_length_c 11.222
_cell_angle_alpha 90.00
_cell_angle_beta 90.00
_cell_angle_gamma 90.00
_symmetry_space_group_name_H-M 'F d d d'
_symmetry_Int_Tables_number 70
loop_
_symmetry_equiv_pos_as_xyz
'x,y,z'
'-x,-y,-z'
'-x+1/4,-y+1/4,z'
'x+1/4,y+1/4,-z'
'x,-y+1/4,-z+1/4'
'-x,y+1/4,z+1/4'
'-x+1/4,y,-z+1/4'
'x+1/4,-y,z+1/4'
'x,y+1/2,z+1/2'
'-x,-y+1/2,-z+1/2'
'-x+1/4,-y+3/4,z+1/2'
'x+1/4,y+3/4,-z+1/2'
'x,-y+3/4,-z+3/4'
'-x,y+3/4,z+3/4'
'-x+1/4,y+1/2,-z+3/4'
'x+1/4,-y+1/2,z+3/4'
'x+1/2,y,z+1/2'
'-x+1/2,-y,-z+1/2'
'-x+3/4,-y+1/4,z+1/2'
'x+3/4,y+1/4,-z+1/2'
'x+1/2,-y+1/4,-z+3/4'
'-x+1/2,y+1/4,z+3/4'
'-x+3/4,y,-z+3/4'
'x+3/4,-y,z+3/4'
'x+1/2,y+1/2,z'
'-x+1/2,-y+1/2,-z'
'-x+3/4,-y+3/4,z'
'x+3/4,y+3/4,-z'
'x+1/2,-y+3/4,-z+1/4'
'-x+1/2,y+3/4,z+1/4'
'-x+3/4,y+1/2,-z+1/4'
'x+3/4,-y+1/2,z+1/4'
loop_
_atom_site_label
_atom_site_fract_x
_atom_site_fract_y
_atom_site_fract_z
Be1 0.039 0.375 0.375
Pb1 0.125 0.327 0.625
```


Below is an optimized crystal structure of PmGaAs2, with properties calculated at the PBE level.

## Properties
- D(E_F) (states/eV/cell) = 2.0
- offset from the most stable computed form (meV per atom) = 0
- energy of formation (eV per atom) = -0.60
- M_tot (μB/f.u.) = 0.0

Cell and atoms, written as CIF:
```
data_PmGaAs2
_chemical_formula_sum 'Pm1 Ga1 As2'
_cell_length_a 4.608
_cell_length_b 4.608
_cell_length_c 4.047
_cell_angle_alpha 90.00
_cell_angle_beta 90.00
_cell_angle_gamma 90.00
_symmetry_space_group_name_H-M 'P 4/m m m'
_symmetry_Int_Tables_number 123
_symmetry_space_group_name_Hall '-P 4 2'
loop_
_atom_site_label
_atom_site_fract_x
_atom_site_fract_y
_atom_site_fract_z
Pm1 0.000 0.000 0.000
Ga1 0.500 0.500 0.000
As1 0.000 0.500 0.500
```


Below is an optimized crystal structure of AcScZn2Ga2, with properties calculated at the PBE level.

## Properties
- D(E_F) (states/eV/cell) = 2.7
- energy of formation (eV per atom) = -0.53
- M_tot (μB/f.u.) = 0.0

Cell and atoms, written as CIF:
```
data_AcScZn2Ga2
_chemical_formula_sum 'Ac1 Sc1 Zn2 Ga2'
_cell_length_a 4.4089
_cell_length_b 4.4089
_cell_length_c 7.6674
_cell_angle_alpha 90.00
_cell_angle_beta 90.00
_cell_angle_gamma 120.00
_symmetry_space_group_name_H-M 'P -3 m 1'
_symmetry_Int_Tables_number 164
_symmetry_space_group_name_Hall '-P 3 2"'
loop_
_atom_site_label
_atom_site_fract_x
_atom_site_fract_y
_atom_site_fract_z
Ac1 0.0000 0.0000 0.0000
Sc1 0.0000 0.0000 0.5000
Zn1 0.3333 0.6667 0.6861
Ga1 0.3333 0.6667 0.2949
```


Below is an optimized crystal structure of K2ZnAu3, with properties calculated at the PBE level.

## Properties
- D(E_F) (states/eV/cell) = 1.2
- offset from the most stable computed form (meV per atom) = 126
- energy of formation (eV per atom) = -0.12
- M_tot (μB/f.u.) = 0.0

Cell and atoms, written as CIF:
```
data_K2ZnAu3
_chemical_formula_sum 'K4 Zn2 Au6'
_cell_length_a 4.558
_cell_length_b 5.867
_cell_length_c 13.121
_cell_angle_alpha 90.00
_cell_angle_beta 90.00
_cell_angle_gamma 90.00
_symmetry_space_group_name_H-M 'I m m m'
_symmetry_Int_Tables_number 71
_symmetry_space_group_name_Hall '-I 2 2'
loop_
_atom_site_label
_atom_site_fract_x
_atom_site_fract_y
_atom_site_fract_z
K1 0.000 0.000 0.191
Zn1 0.000 0.000 0.500
Au1 0.000 0.500 0.106
Au2 0.000 0.500 0.500
```


- Among the records above, which one has the highest D(E_F)?
  BePb


- Number 1 is which compound?
  BePb


Please write out number 3 again, unchanged.
Below is an optimized crystal structure of AcScZn2Ga2, with properties calculated at the PBE level.

## Properties
- D(E_F) (states/eV/cell) = 2.7
- energy of formation (eV per atom) = -0.53
- M_tot (μB/f.u.) = 0.0

Cell and atoms, written as CIF:
```
data_AcScZn2Ga2
_chemical_formula_sum 'Ac1 Sc1 Zn2 Ga2'
_cell_length_a 4.4089
_cell_length_b 4.4089
_cell_length_c 7.6674
_cell_angle_alpha 90.00
_cell_angle_beta 90.00
_cell_angle_gamma 120.00
_symmetry_space_group_name_H-M 'P -3 m 1'
_symmetry_Int_Tables_number 164
_symmetry_space_group_name_Hall '-P 3 2"'
loop_
_atom_site_label
_atom_site_fract_x
_atom_site_fract_y
_atom_site_fract_z
Ac1 0.0000 0.0000 0.0000
Sc1 0.0000 0.0000 0.5000
Zn1 0.3333 0.6667 0.6861
Ga1 0.3333 0.6667 0.2949
```


- Which formula does entry 4 have?
  K2ZnAu3